{
  "formula": "RbTc2NiO8",
  "functional": "GGA+U",
  "state": "optimized geometry",
  "cell": [[-3.349, -2.578, 3.336], [2.308, -2.002, 4.434], [-1.571, 6.648, 4.607]],
  "species": ["O", "O", "O", "Rb", "O", "O", "O", "Ni", "Tc", "Tc", "O", "O"],
  "frac_coords": [[0.267, 0.769, 0.179], [0.769, 0.267, 0.179], [0.313, 0.313, 0.603], [0.000, 0.000, 0.500], [0.231, 0.733, 0.821], [0.223, 0.223, 0.947], [0.777, 0.777, 0.053], [0.000, 0.000, 0.000], [0.374, 0.374, 0.797], [0.626, 0.626, 0.203], [0.687, 0.687, 0.397], [0.733, 0.231, 0.821]],
  "sg": "No. 12",
  "e_tot_ev_per_atom": -6.77,
  "m_tot_mub_per_cell": 0.92
}